A geometry-optimized CaHf2TlF structure, computed with GGA-PBE.

```
data_CaHf2TlF
_chemical_formula_sum 'Ca1 Hf2 Tl1 F1'
_cell_length_a 5.5923
_cell_length_b 5.5923
_cell_length_c 4.7286
_cell_angle_alpha 90.00
_cell_angle_beta 90.00
_cell_angle_gamma 90.00
_space_group_name_H-M_alt 'P 4/m m m'
_space_group_IT_number 123
_space_group_name_Hall '-P 4 2'
loop_
_atom_site_label
_atom_site_type_symbol
_atom_site_fract_x
_atom_site_fract_y
_atom_site_fract_z
Ca1 Ca 0.0000 0.0000 0.0000
Hf1 Hf 0.0000 0.5000 0.5000
Tl1 Tl 0.5000 0.5000 0.5000
F1 F 0.5000 0.5000 0.0000
```

Output
Its total energy is -4.612 eV per atom. For the density of states at the Fermi level, the calculation gives 4.82 states/eV per cell.